[1]
PBE SmTmCd4, optimized geometry; space group = F-43m, No. 216; ΔE_f = -1.5 eV per formula unit; crystal system = cubic
1.0
-3.845 0.786 4.431
1.901 -0.013 5.605
0.062 5.032 3.115
Cd Tm Sm
4 1 1
direct
0.625 0.625 0.125 Cd
0.625 0.125 0.625 Cd
0.625 0.625 0.625 Cd
0.125 0.625 0.625 Cd
0.000 0.000 0.000 Tm
0.250 0.250 0.250 Sm

[2]
PBE Sm8TmCd2, optimized geometry; space group = C2/m, No. 12; ΔE_f = 0.2 eV per formula unit; crystal system = monoclinic
1.0
5.656 -0.292 -0.438
-1.358 8.747 -0.755
-1.358 -4.066 7.782
Sm Cd Tm
8 2 1
direct
0.298 0.599 0.599 Sm
0.500 0.781 0.219 Sm
0.500 0.219 0.781 Sm
0.888 0.682 0.906 Sm
0.112 0.094 0.318 Sm
0.112 0.318 0.094 Sm
0.702 0.401 0.401 Sm
0.888 0.906 0.682 Sm
0.000 0.695 0.305 Cd
0.000 0.305 0.695 Cd
0.500 0.000 0.000 Tm

What is the ΔE_f in the first record? -1.5 eV per formula unit

Copy entry 2 word for word.
PBE Sm8TmCd2, optimized geometry; space group = C2/m, No. 12; ΔE_f = 0.2 eV per formula unit; crystal system = monoclinic
1.0
5.656 -0.292 -0.438
-1.358 8.747 -0.755
-1.358 -4.066 7.782
Sm Cd Tm
8 2 1
direct
0.298 0.599 0.599 Sm
0.500 0.781 0.219 Sm
0.500 0.219 0.781 Sm
0.888 0.682 0.906 Sm
0.112 0.094 0.318 Sm
0.112 0.318 0.094 Sm
0.702 0.401 0.401 Sm
0.888 0.906 0.682 Sm
0.000 0.695 0.305 Cd
0.000 0.305 0.695 Cd
0.500 0.000 0.000 Tm

Among the records above, which one has the lowest ΔE_f? SmTmCd4